First-principles (PBE) data for KTcPd after structural relaxation, as listed in Alexandria via LeMat-Bulk.

abc: 4.781 4.781 4.781
angles: 60.00 60.00 60.00
Each line ends with the local moment (μB).
Atoms (fractional coordinates):
K1 0.250 0.250 0.250  0.01
Tc1 0.750 0.750 0.750  3.19
Pd1 0.500 0.500 0.500  0.33

Energy relative to the elements   1.359 eV per atom
Space group   No. 216
Polymorph energy (0 for the lowest one)   1.115 eV per atom

First-principles (PBE) data for Pr5Nd2Er3 after structural relaxation, as listed in Alexandria via LeMat-Bulk.

abc: 10.029 10.069 11.315
angles: 128.60 128.52 66.20
Atoms (fractional coordinates):
Pr1 0.277 0.527 0.053
Pr2 0.723 0.473 0.947
Pr3 0.022 0.772 0.543
Pr4 0.518 0.268 0.536
Pr5 0.978 0.228 0.457
Pr6 0.482 0.732 0.464
Pr7 0.875 0.620 0.759
Pr8 0.125 0.380 0.241
Pr9 0.384 0.139 0.759
Pr10 0.616 0.861 0.241
Nd1 0.786 0.029 0.758
Nd2 0.214 0.971 0.242
Nd3 0.472 0.728 0.758
Nd4 0.528 0.272 0.242
Er1 0.229 0.979 0.958
Er2 0.771 0.021 0.042
Er3 0.728 0.465 0.246
Er4 0.272 0.535 0.754
Er5 0.019 0.781 0.246
Er6 0.981 0.219 0.754

Energy relative to the elements   0.177 eV per atom
Space group   No. 15
Polymorph energy (0 for the lowest one)   0.000 eV per atom

First-principles (PBE) data for Al2NiBr after structural relaxation, as listed in Alexandria via LeMat-Bulk.

abc: 7.548 7.548 7.548
angles: 25.63 25.63 25.63
Atoms (fractional coordinates):
Ni1 0.750 0.750 0.750
Al1 0.018 0.018 0.018
Al2 0.482 0.482 0.482
Br1 0.250 0.250 0.250

Space group   No. 166
Polymorph energy (0 for the lowest one)   0.053 eV per atom
ΔE_f (raw)   -0.220 eV per atom

First-principles (PBE) data for TcBiP2Os after structural relaxation, as listed in Alexandria via LeMat-Bulk.

abc: 4.439 6.074 4.439
angles: 90.00 90.00 90.00
Each line ends with the local moment (μB).
Atoms (fractional coordinates):
P1 0.000 0.000 0.500  0.01
P2 0.500 0.000 0.000  -0.02
Os1 0.000 0.000 0.000  0.02
Bi1 0.000 0.500 0.000  -0.10
Tc1 0.500 0.500 0.500  3.32

Energy relative to the elements   1.064 eV per atom
Space group   No. 123
Polymorph energy (0 for the lowest one)   0.169 eV per atom

First-principles (PBE) data for LaTm2TeO8 after structural relaxation, as listed in Alexandria via LeMat-Bulk.

abc: 4.962 4.965 7.081
angles: 90.00 90.00 90.64
Each line ends with the local moment (μB).
Atoms (fractional coordinates):
La1 0.000 0.000 0.500  0.05
Tm1 0.500 0.500 0.763  -0.01
Tm2 0.500 0.500 0.237  -0.01
Te1 0.000 0.000 0.000  0.00
O1 0.186 0.813 0.203  0.01
O2 0.718 0.720 0.000  0.03
O3 0.814 0.187 0.203  0.01
O4 0.814 0.187 0.797  0.01
O5 0.282 0.280 0.000  0.03
O6 0.186 0.813 0.797  0.01
O7 0.674 0.676 0.500  0.22
O8 0.326 0.324 0.500  0.22

Space group   No. 10
ΔE_f (raw)   -2.546 eV per atom

First-principles (PBE) data for Pr3Te2S2 after structural relaxation, as listed in Alexandria via LeMat-Bulk.

abc: 4.419 7.744 7.428
angles: 106.35 90.01 106.56
Atoms (fractional coordinates):
Pr1 0.000 0.000 0.000
Pr2 0.752 0.504 0.267
Pr3 0.248 0.496 0.733
Te1 0.610 0.220 0.833
Te2 0.390 0.780 0.167
S1 0.851 0.704 0.655
S2 0.149 0.296 0.345

Space group   No. 2
Polymorph energy (0 for the lowest one)   0.000 eV per atom
ΔE_f (raw)   -1.737 eV per atom

First-principles (PBE) data for GdYAlPt after structural relaxation, as listed in Alexandria via LeMat-Bulk.

abc: 5.060 5.060 5.060
angles: 60.00 60.00 60.00
Each line ends with the local moment (μB).
Atoms (fractional coordinates):
Y1 0.500 0.500 0.500  -0.01
Gd1 0.000 0.000 0.000  6.99
Al1 0.250 0.250 0.250  -0.01
Pt1 0.750 0.750 0.750  0.00

Energy relative to the elements   -0.720 eV per atom
Space group   No. 216

First-principles (PBE) data for PPtBr2 after structural relaxation, as listed in Alexandria via LeMat-Bulk.

abc: 4.421 4.421 7.205
angles: 74.48 74.48 46.77
Atoms (fractional coordinates):
Br1 0.906 0.906 0.018
Br2 0.594 0.594 0.482
P1 0.750 0.750 0.750
Pt1 0.250 0.250 0.250

Space group   No. 12
ΔE_f (raw)   0.593 eV per atom

| no. | D(E_F) (states/eV/atom) |
| --- | --- |
| 1 | 0.404 |
| 2 | 1.746 |
| 3 | 0.260 |
| 4 | 0.679 |
| 5 | 0.372 |
| 6 | 0.318 |
| 7 | 0.600 |
| 8 | 0.591 |